Computed, not measured: a relaxed structure of Be2FeSiO at the PBE+U level of DFT.

The structure in CIF format:
```
data_Be2FeSiO
_cell_length_a 4.4466
_cell_length_b 4.4466
_cell_length_c 3.5069
_cell_angle_alpha 90.00
_cell_angle_beta 90.00
_cell_angle_gamma 90.00
_symmetry_space_group_name_H-M 'P 4/m m m'
_symmetry_Int_Tables_number 123
_symmetry_space_group_name_Hall '-P 4 2'
loop_
_atom_site_label
_atom_site_type_symbol
_atom_site_fract_x
_atom_site_fract_y
_atom_site_fract_z
Be1 Be 0.0000 0.5000 0.0000
Fe1 Fe 0.0000 0.0000 0.0000
Si1 Si 0.5000 0.5000 0.5000
O1 O 0.0000 0.0000 0.5000
```

Values from the calculation:
Total magnetic moment, μB/cell: 3.04
Calculated total energy, eV/atom: -4.04
V, A^3/atom: 13.87